Record 1
The following is a GGA-PBE calculation of a relaxed Ba3SbAs2Pd9 crystal, from the Alexandria database. Values from VASP.

Values from the calculation:
**Symmetry**: P-3m1 (164)
**Total DFT energy (no corrections)**: -4.9464 eV per atom
**Calculated volume**: 23.87 Å³ per atom
**Total moment**: 0.0 Bohr magnetons per cell

Cell and atoms, written as Quantum ESPRESSO input:
```
&SYSTEM
  ibrav = 0, nat = 15, ntyp = 4
/
ATOMIC_SPECIES
Pd 106.42 Pd.upf
Sb 121.76 Sb.upf
Ba 137.33 Ba.upf
As 74.92 As.upf
CELL_PARAMETERS angstrom
-3.568 3.463 -4.524
0.427 -6.693 -0.466
-7.453 -0.839 5.236
ATOMIC_POSITIONS crystal
Pd 0.709 0.854 0.282
Sb 0.000 0.000 0.500
Pd 0.146 0.854 0.282
Pd 0.854 0.709 0.718
Ba 0.000 0.000 0.000
Pd 0.500 0.500 0.000
Pd 0.000 0.500 0.000
Pd 0.291 0.146 0.718
Pd 0.146 0.291 0.282
Pd 0.854 0.146 0.718
Ba 0.667 0.333 0.350
As 0.667 0.333 0.828
Ba 0.333 0.667 0.650
As 0.333 0.667 0.172
Pd 0.500 0.000 0.000
```


Record 2
The following is a GGA-PBE calculation of a relaxed CaOsRh2F crystal, from the Alexandria database. Values from VASP.

Values from the calculation:
**Symmetry**: P4/mmm (123)
**Total DFT energy (no corrections)**: -5.6234 eV per atom
**Calculated volume**: 25.19 Å³ per atom
**Total moment**: 0.0 Bohr magnetons per cell

Cell and atoms, written as Quantum ESPRESSO input:
```
&SYSTEM
  ibrav = 0, nat = 5, ntyp = 4
/
ATOMIC_SPECIES
Rh 102.91 Rh.upf
F 19.00 F.upf
Os 190.23 Os.upf
Ca 40.08 Ca.upf
CELL_PARAMETERS angstrom
4.601 0.000 0.000
0.000 5.949 0.000
0.000 0.000 4.601
ATOMIC_POSITIONS crystal
Rh 0.000 0.000 0.500
F 0.500 0.500 0.500
Rh 0.500 0.000 0.000
Os 0.000 0.000 0.000
Ca 0.000 0.500 0.000
```


Record 3
The following is a GGA-PBE calculation of a relaxed AcTl3P2O8 crystal, from the Alexandria database. Values from VASP.

Values from the calculation:
**Symmetry**: P-3m1 (164)
**Total DFT energy (no corrections)**: -6.5366 eV per atom
**Calculated volume**: 18.34 Å³ per atom
**Total moment**: 0.0 Bohr magnetons per cell

Cell and atoms, written as Quantum ESPRESSO input:
```
&SYSTEM
  ibrav = 0, nat = 14, ntyp = 4
/
ATOMIC_SPECIES
Tl 204.38 Tl.upf
O 16.00 O.upf
Ac 227.00 Ac.upf
P 30.97 P.upf
CELL_PARAMETERS angstrom
5.956 0.000 0.000
-2.978 5.158 0.000
0.000 0.000 8.357
ATOMIC_POSITIONS crystal
Tl 0.667 0.333 0.231
O 0.381 0.191 0.683
Ac 0.000 0.000 0.500
O 0.809 0.619 0.683
Tl 0.333 0.667 0.769
P 0.333 0.667 0.252
O 0.333 0.667 0.068
O 0.619 0.809 0.317
O 0.809 0.191 0.683
O 0.191 0.809 0.317
P 0.667 0.333 0.748
O 0.191 0.381 0.317
Tl 0.000 0.000 0.000
O 0.667 0.333 0.932
```


Record 4
The following is a GGA-PBE calculation of a relaxed CaErNiRh crystal, from the Alexandria database. Values from VASP.

Values from the calculation:
**Symmetry**: F-43m (216)
**Total DFT energy (no corrections)**: -5.3403 eV per atom
**Calculated volume**: 19.52 Å³ per atom
**Total moment**: 0.0 Bohr magnetons per cell

Cell and atoms, written as Quantum ESPRESSO input:
```
&SYSTEM
  ibrav = 0, nat = 4, ntyp = 4
/
ATOMIC_SPECIES
Er 167.26 Er.upf
Rh 102.91 Rh.upf
Ca 40.08 Ca.upf
Ni 58.69 Ni.upf
CELL_PARAMETERS angstrom
-2.928 -3.021 -2.305
-2.496 -3.271 2.466
-4.755 0.452 0.454
ATOMIC_POSITIONS crystal
Er 0.000 0.000 0.000
Rh 0.750 0.750 0.750
Ca 0.500 0.500 0.500
Ni 0.250 0.250 0.250
```